Record 1
# NaYHgSb, relaxed, DFT PBE
# - crystal system = cubic
# - calculated total energy (eV per atom) = -3.535
# - E_form (uncorrected) (eV per atom) = -0.48
data_NaYHgSb
_chemical_formula_sum 'Na4 Y4 Hg4 Sb4'
_cell_length_a 7.4768
_cell_length_b 7.4768
_cell_length_c 7.4768
_cell_angle_alpha 90.00
_cell_angle_beta 90.00
_cell_angle_gamma 90.00
_space_group_name_H-M_alt 'F -4 3 m'
_space_group_IT_number 216
_space_group_name_Hall 'F -4 2 3'
loop_
_atom_site_label
_atom_site_type_symbol
_atom_site_fract_x
_atom_site_fract_y
_atom_site_fract_z
Na1 Na 0.0000 0.0000 0.0000
Y1 Y 0.0000 0.0000 0.5000
Hg1 Hg 0.2500 0.2500 0.2500
Sb1 Sb 0.2500 0.2500 0.7500


Record 2
# NaScHg, relaxed, DFT PBE
# - crystal system = tetragonal
# - calculated total energy (eV per atom) = -2.842
data_NaScHg
_chemical_formula_sum 'Na4 Sc4 Hg4'
_cell_length_a 3.4777
_cell_length_b 3.4777
_cell_length_c 26.3220
_cell_angle_alpha 90.00
_cell_angle_beta 90.00
_cell_angle_gamma 90.00
_space_group_name_H-M_alt 'I 4/m m m'
_space_group_IT_number 139
_space_group_name_Hall '-I 4 2'
loop_
_atom_site_label
_atom_site_type_symbol
_atom_site_fract_x
_atom_site_fract_y
_atom_site_fract_z
Na1 Na 0.0000 0.0000 0.0653
Sc1 Sc 0.0000 0.0000 0.2103
Hg1 Hg 0.0000 0.0000 0.3548